A plane-wave DFT calculation with PBE-GGA was carried out for a relaxed structure of KRuPt2.

Summary:
E_tot: -43.20 eV for the cell shown
Crystal system: triclinic
N(E_F): 6.93 states/eV/cell
Calculated formation energy: 0.214 eV/atom
Density: 10.5 Mg/m³

Unit cell a=5.234 b=5.713 c=6.478 alpha=67.07 beta=81.98 gamma=70.82
Atoms (fractional coordinates):
Pt  0.588  0.604  0.154
Pt  0.018  0.210  0.157
Pt  0.049  0.725  0.177
Pt  0.339  0.072  0.817
Ru  0.580  0.068  0.155
Ru  0.341  0.260  0.406
K  0.675  0.484  0.660
K  0.008  0.800  0.672